No. 1
Here is a geometry-optimized NbZnPO2 structure from the Alexandria database. Energies are from PBE.

abc: 3.8848 3.8848 5.3532
angles: 90.00 90.00 90.00
With the nearest neighbours (Å) after each atom.
Sites, in units of the cell vectors:
Nb (0.0000, 0.0000, 0.0000)  4 O 1.94
Zn (0.5000, 0.5000, 0.5000)  4 P 2.75
P (0.0000, 0.0000, 0.5000)  2 Nb 2.68, 4 Zn 2.75
O (0.0000, 0.5000, 0.0000)  2 Nb 1.94
O (0.5000, 0.0000, 0.0000)  2 Nb 1.94

Output
DFT total energy = -6.57 eV per atom
excess energy over the best structure of this formula in the dataset = 0.0 kJ per mole of atoms
ΔE_f (raw) = -1.236 eV/atom
crystal system = tetragonal



No. 2
Here is a geometry-optimized NbZnPO2 structure from the Alexandria database. Energies are from PBE.

abc: 3.7336 3.7336 4.8710
angles: 90.00 90.00 90.00
With the nearest neighbours (Å) after each atom.
Sites, in units of the cell vectors:
Nb (0.0000, 0.0000, 0.0000)  4 P 2.64
Zn (0.5000, 0.5000, 0.5000)  4 O 1.87
P (0.5000, 0.5000, 0.0000)  2 Zn 2.44, 4 Nb 2.64
O (0.0000, 0.5000, 0.5000)  2 Zn 1.87
O (0.5000, 0.0000, 0.5000)  2 Zn 1.87

Output
DFT total energy = -5.41 eV per atom
excess energy over the best structure of this formula in the dataset = 112.2 kJ per mole of atoms
ΔE_f (raw) = -0.072 eV/atom
crystal system = tetragonal



No. 3
Here is a geometry-optimized ZrNbP2O structure from the Alexandria database. Energies are from PBE.

abc: 5.0530 5.0530 3.8992
angles: 90.00 90.00 90.00
With the nearest neighbours (Å) after each atom.
Sites, in units of the cell vectors:
Zr (0.0000, 0.0000, 0.0000)  2 O 1.95
Nb (0.5000, 0.5000, 0.5000)  8 P 3.19, 4 O 3.57
P (0.0000, 0.5000, 0.0000)  2 Zr 2.53
P (0.5000, 0.0000, 0.0000)  2 Zr 2.53
O (0.0000, 0.0000, 0.5000)  2 Zr 1.95

Output
DFT total energy = -7.13 eV per atom
excess energy over the best structure of this formula in the dataset = 45.6 kJ per mole of atoms
ΔE_f (raw) = -0.254 eV/atom
crystal system = tetragonal



Number 1: M_tot 0.0 μB/f.u.. Number 2: M_tot 0.0 μB/f.u.. Number 3: M_tot 1.2 μB/f.u..